Material: Rb2TlMo3F12
Method: DFT, PBE with a Hubbard U
State: relaxed

Computed properties:
E_tot: -5.241 eV/atom
space group: R-3m (166)

abc: 7.9061 7.9061 7.9061
angles: 60.64 60.64 60.64
Closest atoms and distances in Å follow each position.
Atoms (fractional coordinates):
Rb 0.3707 0.3707 0.3707  3 F 2.75
F 0.5627 0.1278 0.1278  1 Mo 2.07
Mo 0.5000 0.0000 0.0000  6 F 2.07-2.12
F 0.4373 0.8722 0.8722  1 Mo 2.07
Tl 0.0000 0.0000 0.0000  6 F 2.85
F 0.2812 0.2812 0.8899  2 Mo 2.12
Rb 0.6293 0.6293 0.6293  3 F 2.75
Mo 0.0000 0.5000 0.0000  6 F 2.07-2.12
F 0.1278 0.5627 0.1278  1 Mo 2.07
F 0.7188 0.7188 0.1101  2 Mo 2.12
Mo 0.0000 0.0000 0.5000  6 F 2.07-2.12
F 0.2812 0.8899 0.2812  2 Mo 2.12
F 0.1101 0.7188 0.7188  2 Mo 2.12
F 0.8722 0.8722 0.4373  1 Mo 2.07
F 0.1278 0.1278 0.5627  1 Mo 2.07
F 0.7188 0.1101 0.7188  2 Mo 2.12
F 0.8899 0.2812 0.2812  2 Mo 2.12
F 0.8722 0.4373 0.8722  1 Mo 2.07